No. 1
Material: Na7Hg4Bi
Method: DFT, PBE
State: relaxed

Unit cell a=5.388 b=5.388 c=13.623 alpha=90.00 beta=90.00 gamma=120.00
Atoms (fractional coordinates):
Na (0.000, 0.000, 0.000)
Na (0.000, 0.000, 0.264)
Na (0.000, 0.000, 0.736)
Na (0.333, 0.667, 0.134)
Na (0.333, 0.667, 0.427)
Na (0.667, 0.333, 0.573)
Na (0.667, 0.333, 0.866)
Hg (0.333, 0.667, 0.670)
Hg (0.333, 0.667, 0.897)
Hg (0.667, 0.333, 0.103)
Hg (0.667, 0.333, 0.330)
Bi (0.000, 0.000, 0.500)

Results
- Crystal system: trigonal
- Electronic total energy: -1.4285 eV/atom

=====

No. 2
Material: Na2Hg3Bi
Method: DFT, PBE
State: relaxed

Unit cell a=10.237 b=9.615 c=6.343 alpha=76.78 beta=66.12 gamma=37.10
Atoms (fractional coordinates):
Na (0.245, 0.755, 0.755)
Na (0.250, 0.250, 0.250)
Na (0.750, 0.750, 0.750)
Na (0.755, 0.245, 0.245)
Hg (0.159, 0.676, 0.324)
Hg (0.168, 0.168, 0.832)
Hg (0.324, 0.841, 0.159)
Hg (0.676, 0.159, 0.841)
Hg (0.832, 0.832, 0.168)
Hg (0.841, 0.324, 0.676)
Bi (0.339, 0.339, 0.661)
Bi (0.661, 0.661, 0.339)

Results
- Crystal system: orthorhombic
- Electronic total energy: -1.4456 eV/atom

=====

No. 3
Material: Na2Hg9Bi
Method: DFT, PBE
State: relaxed

Unit cell a=5.622 b=5.622 c=10.354 alpha=90.00 beta=90.00 gamma=90.00
Atoms (fractional coordinates):
Na (0.000, 0.000, 0.177)
Na (0.000, 0.000, 0.823)
Hg (0.000, 0.500, 0.000)
Hg (0.000, 0.500, 0.332)
Hg (0.000, 0.500, 0.668)
Hg (0.500, 0.000, 0.000)
Hg (0.500, 0.000, 0.332)
Hg (0.500, 0.000, 0.668)
Hg (0.500, 0.500, 0.170)
Hg (0.500, 0.500, 0.500)
Hg (0.500, 0.500, 0.830)
Bi (0.000, 0.000, 0.500)

Results
- Crystal system: tetragonal
- Electronic total energy: -0.8616 eV/atom

=====

No. 4
Material: Na3Hg2Bi5
Method: DFT, PBE
State: relaxed

Unit cell a=10.811 b=10.811 c=10.811 alpha=106.67 beta=84.70 gamma=143.66
Atoms (fractional coordinates):
Na (0.111, 0.744, 0.855)
Na (0.250, 0.250, 0.000)
Na (0.389, 0.244, 0.633)
Na (0.611, 0.756, 0.367)
Na (0.750, 0.750, 0.000)
Na (0.889, 0.256, 0.145)
Hg (0.086, 0.169, 0.255)
Hg (0.414, 0.669, 0.083)
Hg (0.586, 0.331, 0.917)
Hg (0.914, 0.831, 0.745)
Bi (0.048, 0.250, 0.798)
Bi (0.150, 0.390, 0.540)
Bi (0.250, 0.750, 0.500)
Bi (0.350, 0.890, 0.239)
Bi (0.452, 0.250, 0.202)
Bi (0.548, 0.750, 0.798)
Bi (0.650, 0.110, 0.761)
Bi (0.750, 0.250, 0.500)
Bi (0.850, 0.610, 0.460)
Bi (0.952, 0.750, 0.202)

Results
- Crystal system: orthorhombic
- Electronic total energy: -2.4627 eV/atom

=====

Number 1: DOS at the Fermi energy 3.67 states/eV per cell, V 28.5 Å³/atom, ΔE_f -235 meV per atom. Number 2: DOS at the Fermi energy 4.37 states/eV per cell, V 28.3 Å³/atom, ΔE_f -208 meV per atom. Number 3: DOS at the Fermi energy 3.79 states/eV per cell, V 27.3 Å³/atom, ΔE_f -92 meV per atom. Number 4: DOS at the Fermi energy 10.14 states/eV per cell, V 34.8 Å³/atom, ΔE_f -66 meV per atom.